# PBE with a Hubbard U KMg6CoO8, relaxed
data_KMg6CoO8
_chemical_formula_sum 'K1 Mg6 Co1 O8'
_space_group_name_H-M_alt 'P 4/m m m'
_space_group_IT_number 123
_space_group_name_Hall '-P 4 2'
_cell_length_a 4.4920
_cell_length_b 4.4920
_cell_length_c 8.5086
_cell_angle_alpha 90.00
_cell_angle_beta 90.00
_cell_angle_gamma 90.00
loop_
_atom_site_label
_atom_site_fract_x
_atom_site_fract_y
_atom_site_fract_z
K1 0.0000 0.0000 0.0000
Mg1 0.0000 0.5000 0.2504
Mg2 0.5000 0.5000 0.0000
Mg3 0.5000 0.5000 0.5000
Co1 0.0000 0.0000 0.5000
O1 0.0000 0.0000 0.2833
O2 0.0000 0.5000 0.0000
O3 0.0000 0.5000 0.5000
O4 0.5000 0.5000 0.2522
# - Polymorph energy (0 for the lowest one): 0.000 eV per atom
# - Uncorrected energy: -5.528 eV per atom

=====

# PBE with a Hubbard U KMg6CoO8, relaxed
data_KMg6CoO8
_chemical_formula_sum 'K1 Mg6 Co1 O8'
_space_group_name_H-M_alt 'P 4/m m m'
_space_group_IT_number 123
_space_group_name_Hall '-P 4 2'
_cell_length_a 4.3702
_cell_length_b 4.3702
_cell_length_c 8.8466
_cell_angle_alpha 90.00
_cell_angle_beta 90.00
_cell_angle_gamma 90.00
loop_
_atom_site_label
_atom_site_fract_x
_atom_site_fract_y
_atom_site_fract_z
K1 0.0000 0.0000 0.0000
Mg1 0.0000 0.0000 0.5000
Mg2 0.0000 0.5000 0.2591
Mg3 0.5000 0.5000 0.5000
Co1 0.5000 0.5000 0.0000
O1 0.0000 0.0000 0.2751
O2 0.0000 0.5000 0.0000
O3 0.0000 0.5000 0.5000
O4 0.5000 0.5000 0.2468
# - Polymorph energy (0 for the lowest one): 0.041 eV per atom
# - Uncorrected energy: -5.487 eV per atom

=====

- The highest uncorrected energy belongs to which entry?
  number 2

=====

- Look up the polymorph energy (0 for the lowest one) of the first one.
  0.000 eV per atom